Compound: Zr2BeTc2
Source: Alexandria via LeMat-Bulk
Functional: PBE
Structure: optimized geometry

Lattice parameters (Å, degrees): 6.355 6.355 4.254 90.00 90.00 90.00
Sites, in units of the cell vectors:
Zr 0.176 0.324 0.000
Zr 0.324 0.824 0.000
Zr 0.676 0.176 0.000
Zr 0.824 0.676 0.000
Be 0.000 0.000 0.500
Be 0.500 0.500 0.500
Tc 0.144 0.644 0.500
Tc 0.356 0.144 0.500
Tc 0.644 0.856 0.500
Tc 0.856 0.356 0.500

Results
* excess energy over the best structure of this formula in the dataset: 0.000 eV per atom
* energy of formation: -0.056 eV per atom
* final energy: -83.7 eV per cell
* symmetry: P4/mbm, No. 127
* magnetic moment: 0.00 μB/f.u.